1.
Compound: Ti2ReRh
Source: Alexandria via LeMat-Bulk
Functional: PBE-GGA
Structure: optimized geometry

Summary:
Symmetry: P4/mmm, No. 123
ΔE to the lowest computed polymorph in meV/atom: 0
DFT formation energy in eV/atom: -0.687
E_tot in eV per atom: -9.5841
Calculated density in g/cm³: 10.6

Structure (POSCAR):
```
Ti2ReRh
1.0
-1.436 -2.669 -0.726
1.175 0.151 -2.883
4.982 -3.187 1.863
Re Ti Rh
1 2 1
Cartesian
-0.131 -1.259 -1.804 Re
3.766 -2.409 1.409 Ti
1.216 -0.778 0.455 Ti
2.360 -2.852 -0.872 Rh
```

***

2.
Compound: Ti2ReRh
Source: Alexandria via LeMat-Bulk
Functional: PBE-GGA
Structure: optimized geometry

Summary:
Symmetry: I-42d, No. 122
ΔE to the lowest computed polymorph in meV/atom: 1786
DFT formation energy in eV/atom: 1.099
E_tot in eV per atom: -7.7980
Calculated density in g/cm³: 7.2

Structure (POSCAR):
```
Ti2ReRh
1.0
5.635 0.000 0.000
0.000 5.635 0.000
2.817 2.817 5.585
Ti Re Rh
4 2 2
Cartesian
4.226 4.212 4.189 Ti
1.395 4.226 1.396 Ti
7.044 7.058 4.189 Ti
4.240 1.409 1.396 Ti
5.635 2.817 2.793 Re
0.000 0.000 0.000 Re
2.817 2.817 0.000 Rh
2.817 5.635 2.793 Rh
```

***

3.
Compound: Ti2ReRh
Source: Alexandria via LeMat-Bulk
Functional: PBE-GGA
Structure: optimized geometry

Summary:
Symmetry: Fm-3m, No. 225
ΔE to the lowest computed polymorph in meV/atom: 26
DFT formation energy in eV/atom: -0.661
E_tot in eV per atom: -9.5581
Calculated density in g/cm³: 10.7

Structure (POSCAR):
```
Ti2ReRh
1.0
-2.858 -2.463 2.251
-4.278 0.141 -0.990
-1.923 -3.448 -1.927
Re Rh Ti
1 1 2
Cartesian
-4.530 -2.885 -0.333 Re
0.000 0.000 0.000 Rh
-2.265 -1.443 -0.166 Ti
-6.795 -4.328 -0.499 Ti
```

***

4.
Compound: Ti2ReRh2
Source: Alexandria via LeMat-Bulk
Functional: PBE-GGA
Structure: optimized geometry

Summary:
Symmetry: P4/mbm, No. 127
ΔE to the lowest computed polymorph in meV/atom: 4
DFT formation energy in eV/atom: -0.324
E_tot in eV per atom: -8.9117
Calculated density in g/cm³: 10.7

Structure (POSCAR):
```
Ti2ReRh2
1.0
-1.599 3.972 5.891
-4.928 -4.970 2.013
2.013 -1.394 1.487
Ti Rh Re
4 4 2
Cartesian
-4.589 0.076 6.285 Ti
-1.830 1.829 4.193 Ti
-4.698 -2.826 3.711 Ti
-1.939 -1.073 1.619 Ti
-2.397 -3.325 2.888 Rh
-4.242 -2.393 6.260 Rh
-0.272 0.002 3.131 Rh
-2.117 0.934 6.503 Rh
0.000 0.000 0.000 Re
-3.264 -0.499 3.952 Re
```

***

5.
Compound: Ti3ReRh2
Source: Alexandria via LeMat-Bulk
Functional: PBE-GGA
Structure: optimized geometry

Summary:
Symmetry: P4/mmm, No. 123
DFT formation energy in eV/atom: -0.711
E_tot in eV per atom: -9.1835
Calculated density in g/cm³: 9.9

Structure (POSCAR):
```
Ti3ReRh2
1.0
3.131 0.000 0.000
0.000 3.131 0.000
0.000 0.000 9.211
Re Ti Rh
1 3 2
Cartesian
1.565 1.565 4.605 Re
0.000 0.000 0.000 Ti
0.000 0.000 3.114 Ti
0.000 0.000 6.096 Ti
1.565 1.565 1.492 Rh
1.565 1.565 7.718 Rh
```

***

6.
Compound: Ti4ReRh3
Source: Alexandria via LeMat-Bulk
Functional: PBE-GGA
Structure: optimized geometry

Summary:
Symmetry: P4/mmm, No. 123
DFT formation energy in eV/atom: -0.715
E_tot in eV per atom: -8.9749
Calculated density in g/cm³: 9.5

Structure (POSCAR):
```
Ti4ReRh3
1.0
3.142 0.000 0.000
0.000 3.142 0.000
0.000 0.000 12.179
Rh Ti Re
3 4 1
Cartesian
1.571 1.571 9.083 Rh
1.571 1.571 6.089 Rh
1.571 1.571 3.096 Rh
0.000 0.000 1.490 Ti
0.000 0.000 10.688 Ti
0.000 0.000 4.567 Ti
0.000 0.000 7.612 Ti
1.571 1.571 0.000 Re
```

***

7.
Compound: TiRe3Rh
Source: Alexandria via LeMat-Bulk
Functional: PBE-GGA
Structure: optimized geometry

Summary:
Symmetry: Pm-3m, No. 221
ΔE to the lowest computed polymorph in meV/atom: 0
DFT formation energy in eV/atom: 1.866
E_tot in eV per atom: -8.6517
Calculated density in g/cm³: 13.2

Structure (POSCAR):
```
TiRe3Rh
1.0
4.470 0.000 0.000
0.000 4.470 0.000
0.000 0.000 4.470
Re Rh Ti
3 1 1
Cartesian
2.235 0.000 0.000 Re
0.000 2.235 0.000 Re
0.000 0.000 2.235 Re
2.235 2.235 2.235 Rh
0.000 0.000 0.000 Ti
```

***

8.
Compound: Ti4ReRh
Source: Alexandria via LeMat-Bulk
Functional: PBE-GGA
Structure: optimized geometry

Summary:
Symmetry: P4/mmm, No. 123
ΔE to the lowest computed polymorph in meV/atom: 0
DFT formation energy in eV/atom: -0.433
E_tot in eV per atom: -8.9963
Calculated density in g/cm³: 8.5

Structure (POSCAR):
```
Ti4ReRh
1.0
3.130 -0.001 0.000
0.001 3.130 0.000
0.000 0.000 9.570
Rh Ti Re
1 4 1
Cartesian
1.565 1.564 4.785 Rh
1.565 1.564 8.075 Ti
3.130 3.129 6.321 Ti
1.565 1.565 1.495 Ti
0.000 0.000 3.249 Ti
0.000 0.000 0.000 Re
```